# 1
Computed, not measured: a geometry-optimized NbRe2TeC structure at the PBE level of DFT.

Cell lengths 4.9270, 4.0075, 4.9270 Å; angles 90.00, 90.00, 90.00 degrees
With the nearest neighbours (Å) after each atom.
Fractional coordinates of all 5 atoms:
Te 0.0000 0.0000 0.0000  2 C 2.00
Nb 0.5000 0.5000 0.5000  8 Re 3.18, 4 C 3.48
Re 0.0000 0.0000 0.5000  2 Te 2.46
Re 0.5000 0.0000 0.0000  2 Te 2.46
C 0.0000 0.5000 0.0000  2 Te 2.00

## Properties
* SG: P4/mmm
* crystal system: tetragonal
* E_tot: -0.2498 Ha/atom

***

# 2
Computed, not measured: a geometry-optimized CdGaSi2O6 structure at the PBE level of DFT.

Cell lengths 5.5237, 7.0632, 7.0632 Å; angles 86.76, 76.03, 76.03 degrees
With the nearest neighbours (Å) after each atom.
Fractional coordinates of all 20 atoms:
O 0.8761 0.3973 0.8543  1 Si 1.63
O 0.8188 0.0181 0.2205  1 Si 1.67
O 0.1239 0.6027 0.1457  1 Si 1.63
Si 0.2129 0.3747 0.2066  4 O 1.63-1.67
Si 0.7871 0.6253 0.7934  4 O 1.63-1.67
O 0.1812 0.9819 0.7795  1 Si 1.67
O 0.3761 0.8543 0.3973  1 Si 1.63
Si 0.7129 0.2066 0.3747  4 O 1.63-1.67
Cd 0.2500 0.8923 0.1077  6 O 2.29-2.46
O 0.6239 0.1457 0.6027  1 Si 1.63
Cd 0.7500 0.1077 0.8923  6 O 2.29-2.46
O 0.3188 0.2205 0.0181  1 Si 1.67
O 0.9549 0.3142 0.3473  2 Si 1.66
O 0.4549 0.3473 0.3142  2 Si 1.66
Si 0.2871 0.7934 0.6253  4 O 1.63-1.67
O 0.6812 0.7795 0.9819  1 Si 1.67
O 0.5451 0.6527 0.6858  2 Si 1.66
O 0.0451 0.6858 0.6527  2 Si 1.66
Ga 0.2500 0.2541 0.7459  4 O 2.04-2.05
Ga 0.7500 0.7459 0.2541  4 O 2.04-2.05

## Properties
* SG: C2/c
* crystal system: monoclinic
* E_tot: -0.2393 Ha/atom

***

# 3
Computed, not measured: a geometry-optimized YRe structure at the PBE level of DFT.

Cell lengths 10.2333, 10.2333, 3.3629 Å; angles 90.00, 90.00, 120.00 degrees
With the nearest neighbours (Å) after each atom.
Fractional coordinates of all 12 atoms:
Y 0.8982 0.6851 0.2500  2 Re 2.70-2.89
Y 0.6851 0.7869 0.7500  2 Re 2.70-2.89
Y 0.3149 0.2131 0.2500  2 Re 2.70-2.89
Y 0.2131 0.8982 0.7500  2 Re 2.70-2.89
Re 0.5757 0.4806 0.2500  2 Re 2.45, 1 Y 2.70
Re 0.0951 0.5757 0.7500  2 Re 2.45, 1 Y 2.70
Re 0.4243 0.5194 0.7500  2 Re 2.45, 1 Y 2.70
Y 0.7869 0.1018 0.2500  2 Re 2.70-2.89
Re 0.4806 0.9049 0.7500  2 Re 2.45, 1 Y 2.70
Re 0.5194 0.0951 0.2500  2 Re 2.45, 1 Y 2.70
Y 0.1018 0.3149 0.7500  2 Re 2.70-2.89
Re 0.9049 0.4243 0.2500  2 Re 2.45, 1 Y 2.70

## Properties
* SG: P6_3/m
* crystal system: hexagonal
* E_tot: -0.3163 Ha/atom
* formation energy: 1.70 eV per formula unit